# 1
Density functional theory data (PBE-GGA) for crystalline CaTcHN2 at its relaxed geometry.

Cell: 3.931 3.931 3.610 Å, 90.00 90.00 90.00°
Space group P4/mmm (No. 123)
Unique sites:
Ca 0.000 0.000 0.000 x1
Tc 0.500 0.500 0.500 x1
H 0.500 0.500 0.000 x1
N 0.000 0.500 0.500 x2

Output
DOS at the Fermi energy, states/eV per cell: 2.1
Uncorrected energy, eV per atom: -6.91

# 2
Density functional theory data (PBE-GGA) for crystalline Sc3ZnPt at its relaxed geometry.

Cell: 5.078 5.078 5.078 Å, 90.00 90.00 90.00°
Space group Pm-3m (No. 221)
Unique sites:
Sc 0.000 0.000 0.500 x3
Zn 0.500 0.500 0.500 x1
Pt 0.000 0.000 0.000 x1

Output
DOS at the Fermi energy, states/eV per cell: 16.1
Uncorrected energy, eV per atom: -5.44
Distance to the lowest polymorph of the same formula, eV/atom: 0.4737

# 3
Density functional theory data (PBE-GGA) for crystalline Li2CrMoAu at its relaxed geometry.

Cell: 4.483 4.483 4.998 Å, 90.00 90.00 90.00°
Space group P4/mmm (No. 123)
Unique sites:
Li 0.000 0.500 0.000 x2
Cr 0.000 0.000 0.000 x1
Mo 0.500 0.500 0.500 x1
Au 0.000 0.000 0.500 x1

Output
DOS at the Fermi energy, states/eV per cell: 3.5
Uncorrected energy, eV per atom: -4.23

# 4
Density functional theory data (PBE-GGA) for crystalline Li2YCu2 at its relaxed geometry.

Cell: 7.270 7.270 3.355 Å, 90.00 90.00 90.00°
Space group P4/mbm (No. 127)
Unique sites:
Li 0.155 0.345 0.000 x4
Y 0.000 0.000 0.500 x2
Cu 0.123 0.623 0.500 x4

Output
DOS at the Fermi energy, states/eV per cell: 5.7
Uncorrected energy, eV per atom: -3.63
Distance to the lowest polymorph of the same formula, eV/atom: 0.1650

# 5
Density functional theory data (PBE-GGA) for crystalline CuRuCl4 at its relaxed geometry.

Cell: 12.475 3.550 6.538 Å, 90.00 97.84 90.00°
Space group C2/m (No. 12)
Unique sites:
Cu 0.000 0.000 0.000 x2
Ru 0.000 0.500 0.500 x2
Cl 0.091 0.500 0.843 x4
Cl 0.112 0.000 0.406 x4

Output
DOS at the Fermi energy, states/eV per cell: 9.0
Uncorrected energy, eV per atom: -3.93

# 6
Density functional theory data (PBE-GGA) for crystalline Li2Cd4Bi at its relaxed geometry.

Cell: 8.340 8.340 9.450 Å, 90.00 90.00 90.00°
Space group I4/mcm (No. 140)
Unique sites:
Li 0.151 0.349 0.000 x8
Cd 0.147 0.353 0.343 x16
Bi 0.000 0.000 0.250 x4

Output
DOS at the Fermi energy, states/eV per cell: 11.3
Uncorrected energy, eV per atom: -1.71

# 7
Density functional theory data (PBE-GGA) for crystalline LiTm2UO6 at its relaxed geometry.

Cell: 5.7049 5.7049 15.0008 Å, 90.00 90.00 120.00°
Space group R3 (No. 146, hexagonal axes)
Unique sites:
Li 0.0000 0.0000 0.0000 x3
Tm 0.0000 0.0000 0.2709 x3
Tm 0.0000 0.0000 0.7777 x3
U 0.0000 0.0000 0.4806 x3
O 0.0090 0.7206 0.3843 x9
O 0.0267 0.3540 0.5426 x9

Output
Uncorrected energy, eV per atom: -8.41

# 8
Density functional theory data (PBE-GGA) for crystalline TiMn2Se5 at its relaxed geometry.

Cell: 4.913 10.983 13.129 Å, 90.00 90.00 90.00°
Space group Fmmm (No. 69)
Unique sites:
Ti 0.000 0.000 0.000 x4
Mn 0.000 0.000 0.307 x8
Se 0.000 0.000 0.500 x4
Se 0.000 0.146 0.154 x16

Output
DOS at the Fermi energy, states/eV per cell: 15.8
Uncorrected energy, eV per atom: -5.82

# 9
Density functional theory data (PBE-GGA) for crystalline Er3Tl3Ag2 at its relaxed geometry.

Cell: 7.8632 7.8632 3.7387 Å, 90.00 90.00 120.00°
Space group P-62m (No. 189)
Unique sites:
Er 0.0000 0.3983 0.0000 x3
Tl 0.0000 0.7551 0.5000 x3
Ag 0.3333 0.6667 0.5000 x2

Output
DOS at the Fermi energy, states/eV per cell: 3.9
Uncorrected energy, eV per atom: -3.59
Distance to the lowest polymorph of the same formula, eV/atom: 0.0000

# 10
Density functional theory data (PBE-GGA) for crystalline PmNd6Y5 at its relaxed geometry.

Cell: 6.309 10.927 11.948 Å, 90.00 100.11 90.00°
Space group C2/m (No. 12)
Unique sites:
Pm 0.000 0.000 0.000 x2
Nd 0.250 0.000 0.749 x4
Nd 0.250 0.167 0.251 x8
Y 0.000 0.167 0.500 x4
Y 0.000 0.333 0.000 x4
Y 0.000 0.500 0.500 x2

Output
DOS at the Fermi energy, states/eV per cell: 29.4
Uncorrected energy, eV per atom: -5.46
Distance to the lowest polymorph of the same formula, eV/atom: 0.0000

# 11
Density functional theory data (PBE-GGA) for crystalline Sn2TeAs at its relaxed geometry.

Cell: 7.524 7.524 9.384 Å, 90.00 90.00 90.00°
Space group I-42d (No. 122)
Unique sites:
Sn 0.220 0.250 0.125 x8
Te 0.000 0.000 0.500 x4
As 0.000 0.000 0.000 x4

Output
DOS at the Fermi energy, states/eV per cell: 7.3
Uncorrected energy, eV per atom: -3.92
Distance to the lowest polymorph of the same formula, eV/atom: 0.1703

# 12
Density functional theory data (PBE-GGA) for crystalline HfScMoIr2 at its relaxed geometry.

Cell: 4.781 4.781 4.852 Å, 90.00 90.00 90.00°
Space group P4/mmm (No. 123)
Unique sites:
Hf 0.000 0.000 0.000 x1
Sc 0.000 0.000 0.500 x1
Mo 0.500 0.500 0.500 x1
Ir 0.000 0.500 0.000 x2

Output
DOS at the Fermi energy, states/eV per cell: 2.6
Uncorrected energy, eV per atom: -7.56